[1]
Density functional theory data (PBE) for a relaxed structure of LiLa2AgO5.

Structure (POSCAR):
```
LiLa2AgO5
1.0
-0.1482 -0.5427 -5.9149
-0.9174 -6.8200 0.6487
-6.8486 0.9295 0.0863
Li La Ag O
2 4 2 10
Direct
0.0000 0.5000 0.5000
0.0000 0.0000 0.0000
0.5000 0.6799 0.1799
0.5000 0.1799 0.3201
0.5000 0.8201 0.6799
0.5000 0.3201 0.8201
0.0000 0.0000 0.5000
0.0000 0.5000 0.0000
0.5000 0.5000 0.5000
0.5000 0.0000 0.0000
0.2488 0.1378 0.6378
0.2488 0.8622 0.3622
0.2488 0.3622 0.1378
0.2488 0.6378 0.8622
0.7512 0.1378 0.6378
0.7512 0.6378 0.8622
0.7512 0.8622 0.3622
0.7512 0.3622 0.1378
```

Calculated values
SG: P4/mbm, No. 127
Magnetic moment in Bohr magnetons per cell: 0.00
Formation energy from raw total energies in eV per atom: -2.0767

***

[2]
Density functional theory data (PBE) for a relaxed structure of LiLa2AgO.

Structure (POSCAR):
```
LiLa2AgO
1.0
-4.3571 -0.6729 2.5377
-1.3927 -3.5757 -3.3394
1.8350 -2.9313 2.3734
Li O Ag La
1 1 1 2
Direct
0.0000 0.0000 0.5000
0.0000 0.0000 0.0000
0.5000 0.5000 0.5000
0.0000 0.5000 0.0000
0.5000 0.0000 0.0000
```

Calculated values
SG: P4/mmm, No. 123
Magnetic moment in Bohr magnetons per cell: 0.00
Formation energy from raw total energies in eV per atom: -1.2033

***

[3]
Density functional theory data (PBE) for a relaxed structure of LiLaPmAg.

Structure (POSCAR):
```
LiLaPmAg
1.0
-4.3736 -3.0706 -0.5350
0.4899 -5.3385 -0.3208
-1.6230 -3.0954 4.0777
La Li Ag Pm
1 1 1 1
Direct
0.0000 0.0000 0.0000
0.7500 0.7500 0.7500
0.2500 0.2500 0.2500
0.5000 0.5000 0.5000
```

Calculated values
SG: F-43m, No. 216
Magnetic moment in Bohr magnetons per cell: 0.57
Formation enthalpy at 0 K in eV per atom: -0.0549

***

[4]
Density functional theory data (PBE) for a relaxed structure of LiLa2AgPt.

Structure (POSCAR):
```
LiLa2AgPt
1.0
4.5090 0.0000 0.0000
0.0000 7.9739 0.3438
0.0000 -2.8635 7.0456
Li La Ag Pt
2 4 2 2
Direct
0.2500 0.5577 0.6523
0.7500 0.4423 0.3477
0.7500 0.8927 0.6520
0.7500 0.7146 0.0402
0.2500 0.1073 0.3480
0.2500 0.2854 0.9598
0.2500 0.6663 0.3345
0.7500 0.3337 0.6655
0.2500 0.8833 0.9030
0.7500 0.1167 0.0970
```

Calculated values
SG: P2_1/m, No. 11
Magnetic moment in Bohr magnetons per cell: 0.00
Formation enthalpy at 0 K in eV per atom: -0.5774